Material: MoSI2O
Method: DFT, GGA+U
State: relaxed

Cell lengths 5.774, 5.774, 3.865 Å; angles 90.00, 90.00, 90.00 degrees
Fractional coordinates of all 5 atoms:
Mo: 0.000 0.000 0.000
S: 0.500 0.500 0.500
I: 0.000 0.500 0.000
I: 0.500 0.000 0.000
O: 0.000 0.000 0.500

The calculation puts the density of states at the Fermi level at 1.182 states/eV/atom. The calculation puts the relative energy among the computed polymorphs at 0 meV/atom. As for the total energy: -3.7425 eV/atom. The calculation puts the density at 5.13 Mg/m³. The magnetization is 0.459 μB/atom.